Record 1
First-principles (PBE) data for a relaxed structure of CeSmPu2, as listed in Alexandria via LeMat-Bulk.

Results
* raw total energy: -9.6297 eV per atom

abc: 4.8807 4.8807 4.7756
angles: 90.00 90.00 90.00
Closest atoms and distances in Å follow each position.
Space group P4/mmm (No. 123)
Asymmetric unit:
Ce 0.0000 0.0000 0.0000 [1 per cell]  8 Pu 3.41, 4 Sm 3.45
Sm 0.5000 0.5000 0.0000 [1 per cell]  8 Pu 3.41, 4 Ce 3.45
Pu 0.0000 0.5000 0.5000 [2 per cell]  4 Sm 3.41, 4 Ce 3.41, 4 Pu 3.45

=====

Record 2
First-principles (PBE) data for a relaxed structure of CeSmPu2, as listed in Alexandria via LeMat-Bulk.

Results
* raw total energy: -9.6664 eV per atom

abc: 3.3731 3.3731 9.5539
angles: 90.00 90.00 90.00
Closest atoms and distances in Å follow each position.
Space group P4/mmm (No. 123)
Asymmetric unit:
Ce 0.0000 0.0000 0.0000 [1 per cell]  8 Pu 3.22, 4 Ce 3.37
Sm 0.0000 0.0000 0.5000 [1 per cell]  4 Sm 3.37, 8 Pu 3.54
Pu 0.5000 0.5000 0.2263 [2 per cell]  4 Ce 3.22, 4 Pu 3.37, 4 Sm 3.54

=====

Record 3
First-principles (PBE) data for a relaxed structure of Ce2SmPu, as listed in Alexandria via LeMat-Bulk.

Results
* raw total energy: -7.6167 eV per atom

abc: 3.3895 3.3895 9.7598
angles: 90.00 90.00 90.00
Closest atoms and distances in Å follow each position.
Space group P4/mmm (No. 123)
Asymmetric unit:
Ce 0.0000 0.0000 0.2247 [2 per cell]  4 Pu 3.25, 4 Ce 3.39, 4 Sm 3.60
Sm 0.5000 0.5000 0.5000 [1 per cell]  4 Sm 3.39, 8 Ce 3.60
Pu 0.5000 0.5000 0.0000 [1 per cell]  8 Ce 3.25, 4 Pu 3.39

=====

Record 4
First-principles (PBE) data for a relaxed structure of Ce2SmPu, as listed in Alexandria via LeMat-Bulk.

Results
* raw total energy: -7.2840 eV per atom

abc: 3.5765 3.5765 29.9523
angles: 90.00 90.00 120.00
Closest atoms and distances in Å follow each position.
Space group R-3m (No. 166, hexagonal axes)
Asymmetric unit:
Ce 0.0000 0.0000 0.1139 [6 per cell]  3 Pu 2.60
Sm 0.0000 0.0000 0.0000 [3 per cell]  2 Ce 3.41, 6 Sm 3.58
Pu 0.0000 0.0000 0.5000 [3 per cell]  6 Ce 2.60

=====

Record 5
First-principles (PBE) data for a relaxed structure of Ce2SmPu3Te6, as listed in Alexandria via LeMat-Bulk.

Results
* ΔE_f (raw): -1.235 eV per atom
* raw total energy: -7.7709 eV per atom

abc: 19.4237 4.4474 8.9172
angles: 90.00 103.07 90.00
Closest atoms and distances in Å follow each position.
Space group C2/m (No. 12)
Asymmetric unit:
Ce 0.1665 0.0000 0.3349 [4 per cell]  6 Te 3.17-3.18
Sm 0.0000 0.5000 0.0000 [2 per cell]  6 Te 3.16
Pu 0.0000 0.5000 0.5000 [2 per cell]  6 Te 3.14
Pu 0.1673 0.0000 0.8349 [4 per cell]  6 Te 3.12-3.14
Te 0.0013 0.0000 0.7494 [4 per cell]  3 Pu 3.14, 2 Sm 3.16, 1 Ce 3.17
Te 0.1660 0.5000 0.5881 [4 per cell]  3 Pu 3.12-3.14, 3 Ce 3.17
Te 0.1669 0.5000 0.0804 [4 per cell]  3 Pu 3.12-3.14, 1 Sm 3.16, 2 Ce 3.18

=====

Record 6
First-principles (PBE) data for a relaxed structure of CeSmPu2Te5, as listed in Alexandria via LeMat-Bulk.

Results
* ΔE_f (raw): -0.644 eV per atom
* raw total energy: -6.7578 eV per atom

abc: 5.6399 5.6399 11.8845
angles: 90.00 90.00 90.00
Closest atoms and distances in Å follow each position.
Space group P4/mmm (No. 123)
Asymmetric unit:
Ce 0.0000 0.0000 0.0000 [1 per cell]  2 Te 2.94
Sm 0.0000 0.0000 0.5000 [1 per cell]  6 Te 2.82-3.00
Pu 0.5000 0.5000 0.3284 [2 per cell]  4 Te 3.48
Te 0.0000 0.0000 0.2473 [2 per cell]  1 Ce 2.94, 1 Sm 3.00
Te 0.0000 0.5000 0.5000 [2 per cell]  2 Sm 2.82
Te 0.5000 0.5000 0.0000 [1 per cell]  2 Pu 3.90, 4 Ce 3.99

=====

Record 7
First-principles (PBE) data for a relaxed structure of Ce2Sm3PuTe6, as listed in Alexandria via LeMat-Bulk.

Results
* ΔE_f (raw): -1.345 eV per atom
* raw total energy: -6.2789 eV per atom

abc: 19.4832 4.4348 8.9633
angles: 90.00 103.84 90.00
Closest atoms and distances in Å follow each position.
Space group C2/m (No. 12)
Asymmetric unit:
Ce 0.1667 0.0000 0.3340 [4 per cell]  6 Te 3.17
Sm 0.0000 0.5000 0.5000 [2 per cell]  6 Te 3.13-3.16
Sm 0.1670 0.0000 0.8341 [4 per cell]  6 Te 3.14-3.16
Pu 0.0000 0.5000 0.0000 [2 per cell]  6 Te 3.14
Te 0.0009 0.0000 0.7519 [4 per cell]  3 Sm 3.14-3.16, 2 Pu 3.14, 1 Ce 3.17
Te 0.1660 0.5000 0.0810 [4 per cell]  3 Sm 3.14-3.16, 1 Pu 3.14, 2 Ce 3.17
Te 0.1657 0.5000 0.5862 [4 per cell]  3 Sm 3.13-3.14, 3 Ce 3.17

=====

Record 8
First-principles (PBE) data for a relaxed structure of CeSm3Pu2Te6, as listed in Alexandria via LeMat-Bulk.

Results
* ΔE_f (raw): -1.303 eV per atom
* raw total energy: -6.9370 eV per atom

abc: 19.4491 4.4290 8.9354
angles: 90.00 103.93 90.00
Closest atoms and distances in Å follow each position.
Space group C2/m (No. 12)
Asymmetric unit:
Ce 0.0000 0.0000 0.0000 [2 per cell]  6 Te 3.16-3.17
Sm 0.0000 0.0000 0.5000 [2 per cell]  6 Te 3.13-3.16
Sm 0.1665 0.5000 0.8326 [4 per cell]  6 Te 3.13-3.16
Pu 0.1664 0.5000 0.3321 [4 per cell]  6 Te 3.13-3.14
Te 0.0005 0.5000 0.2530 [4 per cell]  3 Sm 3.13-3.15, 1 Pu 3.13, 2 Ce 3.16
Te 0.1673 0.0000 0.5815 [4 per cell]  3 Pu 3.14, 3 Sm 3.16
Te 0.1677 0.0000 0.0844 [4 per cell]  3 Sm 3.13-3.15, 2 Pu 3.14, 1 Ce 3.17

=====

Record 9
First-principles (PBE) data for a relaxed structure of CeSmPuTl, as listed in Alexandria via LeMat-Bulk.

Results
* raw total energy: -6.8004 eV per atom

abc: 7.6408 7.6408 7.6408
angles: 90.00 90.00 90.00
Closest atoms and distances in Å follow each position.
Space group F-43m (No. 216)
Asymmetric unit:
Ce 0.0000 0.0000 0.0000 [4 per cell]  4 Sm 3.31, 4 Pu 3.31
Sm 0.2500 0.2500 0.2500 [4 per cell]  4 Tl 3.31, 4 Ce 3.31
Pu 0.2500 0.2500 0.7500 [4 per cell]  4 Tl 3.31, 4 Ce 3.31
Tl 0.0000 0.0000 0.5000 [4 per cell]  4 Pu 3.31, 4 Sm 3.31

=====

Record 10
First-principles (PBE) data for a relaxed structure of CeSmTmPu, as listed in Alexandria via LeMat-Bulk.

Results
* raw total energy: -7.0912 eV per atom

abc: 7.8939 7.8939 7.8939
angles: 90.00 90.00 90.00
Closest atoms and distances in Å follow each position.
Space group F-43m (No. 216)
Asymmetric unit:
Ce 0.0000 0.0000 0.0000 [4 per cell]  4 Sm 3.42, 4 Tm 3.42
Sm 0.2500 0.2500 0.7500 [4 per cell]  4 Pu 3.42, 4 Ce 3.42
Tm 0.2500 0.2500 0.2500 [4 per cell]  4 Ce 3.42, 4 Pu 3.42
Pu 0.0000 0.0000 0.5000 [4 per cell]  4 Tm 3.42, 4 Sm 3.42

=====

Record 11
First-principles (PBE) data for a relaxed structure of CeSmYPu, as listed in Alexandria via LeMat-Bulk.

Results
* raw total energy: -7.5779 eV per atom

abc: 7.9499 7.9499 7.9499
angles: 90.00 90.00 90.00
Closest atoms and distances in Å follow each position.
Space group F-43m (No. 216)
Asymmetric unit:
Ce 0.0000 0.0000 0.0000 [4 per cell]  4 Sm 3.44, 4 Y 3.44
Sm 0.2500 0.2500 0.7500 [4 per cell]  4 Ce 3.44, 4 Pu 3.44
Y 0.2500 0.2500 0.2500 [4 per cell]  4 Ce 3.44, 4 Pu 3.44
Pu 0.0000 0.0000 0.5000 [4 per cell]  4 Sm 3.44, 4 Y 3.44

=====

Record 12
First-principles (PBE) data for a relaxed structure of Ce3PuSn12, as listed in Alexandria via LeMat-Bulk.

Results
* raw total energy: -5.5109 eV per atom

abc: 4.7162 4.7162 18.7160
angles: 90.00 90.00 90.00
Closest atoms and distances in Å follow each position.
Space group P4/mmm (No. 123)
Asymmetric unit:
Ce 0.0000 0.0000 0.0000 [1 per cell]  12 Sn 3.33
Ce 0.0000 0.0000 0.2507 [2 per cell]  12 Sn 3.32-3.34
Pu 0.0000 0.0000 0.5000 [1 per cell]  12 Sn 3.30-3.33
Sn 0.0000 0.5000 0.1256 [4 per cell]  4 Ce 3.32-3.33, 8 Sn 3.33
Sn 0.0000 0.5000 0.3770 [4 per cell]  8 Sn 3.30-3.33, 2 Pu 3.30, 2 Ce 3.34
Sn 0.5000 0.5000 0.0000 [1 per cell]  8 Sn 3.33, 4 Ce 3.33
Sn 0.5000 0.5000 0.2515 [2 per cell]  8 Sn 3.33, 4 Ce 3.33
Sn 0.5000 0.5000 0.5000 [1 per cell]  8 Sn 3.30, 4 Pu 3.33

=====

Record 13
First-principles (PBE) data for a relaxed structure of Ce2Pu2Sn, as listed in Alexandria via LeMat-Bulk.

Results
* raw total energy: -9.0884 eV per atom

abc: 16.9217 5.6242 5.5517
angles: 90.00 95.67 90.00
Closest atoms and distances in Å follow each position.
Space group C2/c (No. 15)
Asymmetric unit:
Ce 0.1050 0.2478 0.2869 [8 per cell]  2 Pu 2.79-2.90
Pu 0.1942 0.1868 0.7332 [8 per cell]  2 Ce 2.79-2.90
Sn 0.0000 0.2480 0.7500 [4 per cell]  8 Ce 3.27-3.34, 2 Pu 3.31

=====

Record 14
First-principles (PBE) data for a relaxed structure of Ce12Pu2Sn5, as listed in Alexandria via LeMat-Bulk.

Results
* raw total energy: -6.5870 eV per atom

abc: 13.5169 9.9548 7.5727
angles: 90.00 95.44 90.00
Closest atoms and distances in Å follow each position.
Space group C2/m (No. 12)
Asymmetric unit:
Ce 0.0070 0.0000 0.2872 [4 per cell]  2 Pu 2.93, 3 Ce 2.95-3.25
Ce 0.0867 0.5000 0.1253 [4 per cell]  3 Ce 2.87-2.97, 1 Sn 3.17
Ce 0.1233 0.2506 0.3367 [8 per cell]  2 Ce 2.95-2.97, 1 Pu 2.96, 3 Sn 3.26-3.30
Ce 0.1481 0.2939 0.7837 [8 per cell]  1 Pu 2.87
Pu 0.0000 0.1982 0.0000 [4 per cell]  6 Ce 2.87-2.96, 2 Sn 3.20
Sn 0.0000 0.5000 0.5000 [2 per cell]  10 Ce 3.17-3.47
Sn 0.1869 0.0000 0.0171 [4 per cell]  2 Pu 3.20, 7 Ce 3.29-3.43, 1 Sn 3.49
Sn 0.2223 0.0000 0.5668 [4 per cell]  9 Ce 3.26-3.55, 1 Sn 3.49

=====

Record 15
First-principles (PBE) data for a relaxed structure of Ce4PuSn, as listed in Alexandria via LeMat-Bulk.

Results
* raw total energy: -7.1701 eV per atom

abc: 8.1283 8.9269 5.2596
angles: 90.00 126.43 90.00
Closest atoms and distances in Å follow each position.
Space group C2/m (No. 12)
Asymmetric unit:
Ce 0.2491 0.1626 0.2254 [8 per cell]  2 Ce 2.85-2.90
Pu 0.0000 0.5000 0.0000 [2 per cell]  12 Ce 3.25-3.61, 2 Sn 3.28
Sn 0.0000 0.0000 0.5000 [2 per cell]  2 Pu 3.28, 12 Ce 3.40-3.44

=====

Record 16
First-principles (PBE) data for a relaxed structure of CePu2Sn2, as listed in Alexandria via LeMat-Bulk.

Results
* raw total energy: -8.8801 eV per atom

abc: 11.2921 4.8717 9.4074
angles: 90.00 103.36 90.00
Closest atoms and distances in Å follow each position.
Space group C2/m (No. 12)
Asymmetric unit:
Ce 0.2355 0.0000 0.2247 [4 per cell]  2 Pu 2.82
Pu 0.0465 0.5000 0.3469 [4 per cell]  1 Pu 2.47
Pu 0.1220 0.5000 0.1200 [4 per cell]  1 Pu 2.47
Sn 0.0781 0.0000 0.8760 [4 per cell]  2 Sn 3.22-3.23, 7 Pu 3.31-3.38, 4 Ce 3.35-3.49
Sn 0.1463 0.0000 0.5621 [4 per cell]  6 Pu 3.20-3.50, 2 Sn 3.22-3.24, 3 Ce 3.24-3.55

=====

Record 17
First-principles (PBE) data for a relaxed structure of Ce5Pu2Sn3, as listed in Alexandria via LeMat-Bulk.

Results
* raw total energy: -7.2006 eV per atom

abc: 8.7071 13.5409 10.0553
angles: 90.00 90.00 90.00
Closest atoms and distances in Å follow each position.
Space group Ibam (No. 72)
Asymmetric unit:
Ce 0.0000 0.0000 0.2500 [4 per cell]  4 Sn 3.26
Ce 0.0000 0.2693 0.2500 [8 per cell]  2 Pu 2.86, 3 Sn 3.12-3.16
Ce 0.2304 0.3937 0.0000 [8 per cell]  1 Pu 2.55
Pu 0.0586 0.3625 0.5000 [8 per cell]  1 Ce 2.55
Sn 0.0000 0.5000 0.2500 [4 per cell]  2 Ce 3.12, 4 Pu 3.17
Sn 0.0925 0.1407 0.0000 [8 per cell]  2 Pu 3.04-3.28, 5 Ce 3.16-3.26

=====

Record 18
First-principles (PBE) data for a relaxed structure of Ce3Pu2Sn2, as listed in Alexandria via LeMat-Bulk.

Results
* raw total energy: -8.0259 eV per atom

abc: 3.4561 4.9904 21.1987
angles: 90.00 90.00 90.00
Closest atoms and distances in Å follow each position.
Space group Immm (No. 71)
Asymmetric unit:
Ce 0.0000 0.0000 0.0000 [2 per cell]  2 Pu 2.97
Ce 0.0000 0.5000 0.2118 [4 per cell]  2 Pu 2.92
Pu 0.0000 0.0000 0.1403 [4 per cell]  3 Ce 2.92-2.97
Sn 0.0000 0.0000 0.4233 [4 per cell]  3 Sn 3.25-3.46, 4 Pu 3.32, 6 Ce 3.34-3.44

=====

Record 19
First-principles (PBE) data for a relaxed structure of Ce6PuSn, as listed in Alexandria via LeMat-Bulk.

Results
* raw total energy: -6.9845 eV per atom

abc: 12.5273 6.0277 11.7675
angles: 90.00 100.88 90.00
Closest atoms and distances in Å follow each position.
Space group C2/c (No. 15)
Asymmetric unit:
Ce 0.0802 0.0839 0.3935 [8 per cell]  1 Pu 2.47
Ce 0.1354 0.4261 0.0326 [8 per cell]  1 Pu 2.50
Ce 0.2220 0.0829 0.6831 [8 per cell]  1 Pu 2.46
Pu 0.2500 0.2500 0.5000 [4 per cell]  6 Ce 2.46-2.50
Sn 0.0000 0.4053 0.7500 [4 per cell]  12 Ce 3.44-3.60

=====

Record 20
First-principles (PBE) data for a relaxed structure of CePu4Sn5, as listed in Alexandria via LeMat-Bulk.

Results
* raw total energy: -8.7484 eV per atom

abc: 4.1511 4.1511 15.3820
angles: 90.00 90.00 90.00
Closest atoms and distances in Å follow each position.
Space group P4/mmm (No. 123)
Asymmetric unit:
Ce 0.0000 0.0000 0.0000 [1 per cell]  2 Pu 3.02, 8 Sn 3.32
Pu 0.0000 0.0000 0.1965 [2 per cell]  1 Ce 3.02, 1 Pu 3.14, 8 Sn 3.28-3.34
Pu 0.0000 0.0000 0.4005 [2 per cell]  2 Pu 3.06-3.14, 8 Sn 3.31-3.32
Sn 0.5000 0.5000 0.1008 [2 per cell]  2 Sn 3.06-3.10, 4 Pu 3.28, 4 Ce 3.32
Sn 0.5000 0.5000 0.2995 [2 per cell]  2 Sn 3.06-3.08, 8 Pu 3.32-3.34
Sn 0.5000 0.5000 0.5000 [1 per cell]  2 Sn 3.08, 8 Pu 3.31